{"formula": "ErInPd", "functional": "PBE-GGA", "state": "relaxed", "lattice_angstrom": [[7.7395, 0.0000, 0.0000], [-3.8697, 6.7026, 0.0000], [0.0000, 0.0000, 3.7601]], "species": ["Er", "Er", "Er", "In", "In", "In", "Pd", "Pd", "Pd"], "frac_coords": [[0.0000, 0.4057, 0.0000], [0.4057, 0.0000, 0.0000], [0.5943, 0.5943, 0.0000], [0.0000, 0.7373, 0.5000], [0.2627, 0.2627, 0.5000], [0.7373, 0.0000, 0.5000], [0.0000, 0.0000, 0.0000], [0.3333, 0.6667, 0.5000], [0.6667, 0.3333, 0.5000]], "total_magnetization_mub_per_cell": 0.00, "formation_energy_ev_per_atom": -0.812}

***

{"formula": "ErInPd", "functional": "PBE-GGA", "state": "relaxed", "lattice_angstrom": [[2.3156, -4.7873, 0.0000], [2.3156, 4.7873, 0.0000], [0.0000, 0.0000, 5.8758]], "species": ["Er", "Er", "In", "In", "Pd", "Pd"], "frac_coords": [[0.1940, 0.8060, 0.7500], [0.8060, 0.1940, 0.2500], [0.5000, 0.5000, 0.0000], [0.5000, 0.5000, 0.5000], [0.1139, 0.8861, 0.2500], [0.8861, 0.1139, 0.7500]], "total_magnetization_mub_per_cell": 0.00, "formation_energy_ev_per_atom": -0.736}